# 1
7
Lattice="3.586 -2.060 0.000 3.586 2.060 0.000 -2.361 0.000 5.912" Properties=species:S:1:pos:R:3 comment="Li3Cu2Si2, optimized geometry, DFT GGA-PBE" crystal_system=monoclinic total_magnetization_mub_per_cell=0.00 e_tot_ev_per_atom=-3.792 raw_formation_energy_mev_per_atom=-252 pbc="T T T"
Li 0.000 0.000 0.000
Li 0.016 0.000 2.553
Li 4.795 0.000 3.359
Cu 0.015 0.000 4.975
Cu 4.796 0.000 0.936
Si 2.406 0.000 1.610
Si 2.404 0.000 4.302

# 2
12
Lattice="-2.300 3.350 6.974 2.300 -3.350 6.974 2.300 3.350 -6.974" Properties=species:S:1:pos:R:3 comment="Hf5MgZn6, optimized geometry, DFT GGA-PBE" crystal_system=orthorhombic total_magnetization_mub_per_cell=0.00 e_tot_ev_per_atom=-5.085 pbc="T T T"
Hf 0.000 0.000 0.000
Hf 2.300 0.000 2.303
Hf 0.000 0.000 4.648
Hf 0.000 0.000 9.299
Hf 0.000 3.350 4.670
Mg 0.000 3.350 0.000
Zn 2.300 -1.639 4.673
Zn 2.300 1.746 0.000
Zn 0.000 1.710 2.300
Zn 2.300 1.639 4.673
Zn 0.000 1.603 6.974
Zn 0.000 4.989 2.300

| no. | density of states at the Fermi level (states/eV/f.u.) |
| --- | --- |
| 1 | 1.545 |
| 2 | 7.064 |